VASP calculation (PBE) on a geometry-optimized Ce2Sm2Tl5 structure.

```
Ce2Sm2Tl5
1.0
-0.468 -10.828 1.186
1.168 -0.723 -6.135
7.641 5.599 4.017
Tl Ce Sm
10 4 4
Cartesian
3.701 -6.764 1.536
1.187 -8.352 -0.309
1.774 -8.649 -3.384
6.537 2.782 2.619
5.872 -4.066 -1.453
5.365 -1.913 1.418
2.408 -1.848 0.847
4.628 0.820 -2.402
2.915 -4.000 -2.024
7.118 2.356 -0.441
4.032 0.946 0.703
4.293 -6.887 -1.546
0.323 -5.759 -2.335
1.142 -0.706 -5.995
1.299 -4.789 0.963
2.062 -1.020 -2.557
6.225 -4.897 1.914
6.987 -1.129 -1.606
```

**Energy of formation**: -1.38 kcal/mol of atoms
**SG**: No. 46
**Density of states at the Fermi level**: 35.9 states/eV/cell
**Volume**: 558.04 Å³/cell